(1)
Compound: AcSm2F
Source: Alexandria
Functional: PBE
Structure: optimized geometry

```
AcSm2F
1.0
3.7903 0.0000 0.0000
1.8951 3.2825 0.0000
1.8951 1.0942 9.8550
Ac Sm F
1 2 1
direct
0.0000 0.0000 0.0000 Ac
0.1210 0.1210 0.6371 Sm
0.8790 0.8790 0.3629 Sm
0.5000 0.5000 0.5000 F
```

Crystal system: trigonal
E_form (uncorrected), meV per atom: -942
Total magnetic moment, μB per formula unit: 0.000
Space-group type: R-3m, No. 166

(2)
Compound: CsKAgO2
Source: Alexandria
Functional: PBE
Structure: optimized geometry

```
CsKAgO2
1.0
5.2254 0.0000 0.0000
0.0000 7.6162 0.0000
0.0000 -3.8081 6.8594
Cs K Ag O
2 2 2 4
direct
0.2458 0.7500 0.5000 Cs
0.7542 0.2500 0.5000 Cs
0.5000 0.7500 0.0000 K
0.5000 0.2500 0.0000 K
0.0000 0.0000 0.0000 Ag
0.0000 0.5000 0.0000 Ag
0.7433 0.8935 0.7870 O
0.7433 0.6065 0.2130 O
0.2567 0.3935 0.7870 O
0.2567 0.1065 0.2130 O
```

Crystal system: orthorhombic
E_form (uncorrected), meV per atom: -685
Total magnetic moment, μB per formula unit: 1.000
Space-group type: Cmme, No. 67

(3)
Compound: MnHIr2Pt
Source: Alexandria
Functional: PBE
Structure: optimized geometry

```
MnHIr2Pt
1.0
-3.5973 -1.0824 -1.2106
1.2356 -3.7337 -0.3334
-1.0484 -0.6794 3.7226
Mn Ir Pt H
1 2 1 1
direct
0.5000 0.5000 0.5000 Mn
0.0000 0.5000 0.0000 Ir
0.5000 0.0000 0.0000 Ir
0.0000 0.0000 0.5000 Pt
0.0000 0.0000 0.0000 H
```

Crystal system: tetragonal
Electronic total energy, eV/atom: -7.261
Total magnetic moment, μB per formula unit: 3.691
Space-group type: P4/mmm, No. 123

(4)
Compound: Be2NbNi3
Source: Alexandria
Functional: PBE
Structure: optimized geometry

```
Be2NbNi3
1.0
-1.4525 2.1840 -0.3936
0.2287 -0.3207 -2.6229
-7.6441 -5.0918 -0.0439
Be Nb Ni
2 1 3
direct
0.5000 0.5000 0.8557 Be
0.5000 0.5000 0.1443 Be
0.5000 0.5000 0.5000 Nb
0.0000 0.0000 0.0000 Ni
0.0000 0.0000 0.7171 Ni
0.0000 0.0000 0.2829 Ni
```

Crystal system: tetragonal
E_form, eV/atom: -0.365
Total magnetic moment, μB per formula unit: 0.000
Space-group type: P4/mmm, No. 123

(5)
Compound: Tl3InTe2
Source: Alexandria
Functional: PBE
Structure: optimized geometry

```
Tl3InTe2
1.0
-0.3183 4.0939 -2.3717
-1.5599 -2.4600 -4.0454
-7.2273 0.0543 5.8357
Tl In Te
3 1 2
direct
0.5000 0.5000 0.0000 Tl
0.8266 0.3271 0.6545 Tl
0.1734 0.6729 0.3455 Tl
0.0000 0.0000 0.0000 In
0.3608 0.8615 0.7232 Te
0.6392 0.1385 0.2768 Te
```

Crystal system: monoclinic
E_form (uncorrected), meV per atom: -228
Total magnetic moment, μB per formula unit: 0.000
Space-group type: C2/m, No. 12

(6)
Compound: Cs2KAuF6
Source: Alexandria
Functional: PBE
Structure: optimized geometry

```
Cs2KAuF6
1.0
-4.3357 2.5985 4.3771
-0.5509 -2.6266 6.1209
2.2347 3.3971 5.3041
Cs K Au F
2 1 1 6
direct
0.7500 0.7500 0.7500 Cs
0.2500 0.2500 0.2500 Cs
0.5000 0.5000 0.5000 K
0.0000 0.0000 0.0000 Au
0.2282 0.7718 0.7718 F
0.7718 0.2282 0.7718 F
0.7718 0.7718 0.2282 F
0.2282 0.2282 0.7718 F
0.7718 0.2282 0.2282 F
0.2282 0.7718 0.2282 F
```

Crystal system: tetragonal
E_form (uncorrected), meV per atom: -2110
Total magnetic moment, μB per formula unit: 2.000
Space-group type: I4/mmm, No. 139

What is the formula in the sixth record? Cs2KAuF6

Copy entry 3 word for word.
Compound: MnHIr2Pt
Source: Alexandria
Functional: PBE
Structure: optimized geometry

```
MnHIr2Pt
1.0
-3.5973 -1.0824 -1.2106
1.2356 -3.7337 -0.3334
-1.0484 -0.6794 3.7226
Mn Ir Pt H
1 2 1 1
direct
0.5000 0.5000 0.5000 Mn
0.0000 0.5000 0.0000 Ir
0.5000 0.0000 0.0000 Ir
0.0000 0.0000 0.5000 Pt
0.0000 0.0000 0.0000 H
```

Crystal system: tetragonal
Electronic total energy, eV/atom: -7.261
Total magnetic moment, μB per formula unit: 3.691
Space-group type: P4/mmm, No. 123

Which value of total magnetic moment does entry 3 give? 3.691 μB per formula unit